Entry from Alexandria via LeMat-Bulk: a geometry-optimized ZrCrIn2 structure (PBEsol).

The space group is I4/mmm (No. 139) and the conventional cell measures 4.265, 4.265 and 8.445 Å, with angles of 90.00, 90.00 and 90.00 degrees. Symmetry generates all atoms from Zr at (0.000, 0.000, 0.000), Cr at (0.000, 0.000, 0.500) and In at (0.000, 0.500, 0.250).

The calculation puts the energy of formation from the pure elements at 0.08 eV/atom. The total magnetization comes out at 0.4789 μB/atom. The density of states at the Fermi level is 0.66 states/eV per atom. As for the excess energy over the best structure of this formula in the dataset: 34 meV per atom. Its total energy is -49.99 eV per cell.